First-principles (PBE) data for crystalline Ba2MgZn3In4 at its relaxed geometry, as listed in Alexandria. Values from VASP.

Properties
Formation enthalpy at 0 K (eV per formula unit): -2.96

Structure (Quantum ESPRESSO input):
```
&SYSTEM
  ibrav = 0, nat = 10, ntyp = 4
/
ATOMIC_SPECIES
Ba 137.33 Ba.upf
Mg 24.30 Mg.upf
Zn 65.41 Zn.upf
In 114.82 In.upf
CELL_PARAMETERS angstrom
4.800 0.000 0.000
0.000 4.800 0.000
0.000 0.000 11.819
ATOMIC_POSITIONS crystal
Ba 0.000 0.500 0.247
Ba 0.500 0.000 0.753
Mg 0.000 0.000 0.500
Zn 0.000 0.500 0.867
Zn 0.500 0.000 0.133
Zn 0.500 0.500 0.500
In 0.000 0.000 0.000
In 0.000 0.500 0.635
In 0.500 0.000 0.365
In 0.500 0.500 0.000
```